! TiNbAg2Rh, optimized geometry, DFT PBEsol; values from VASP
! Electronic total energy, eV per cell: -26.9
! Density of states at the Fermi level, states/eV per cell: 6.68
! Formation enthalpy at 0 K, eV per atom: 1.393
&SYSTEM
  ibrav = 0, nat = 5, ntyp = 4
/
ATOMIC_SPECIES
Rh 102.91 Rh.upf
Ag 107.87 Ag.upf
Ti 47.87 Ti.upf
Nb 92.91 Nb.upf
CELL_PARAMETERS angstrom
4.540 0.000 0.000
0.000 4.971 0.000
0.000 0.000 4.971
ATOMIC_POSITIONS crystal
Rh 0.500 0.000 0.000
Ag 0.000 0.500 0.000
Ag 0.000 0.000 0.500
Ti 0.500 0.500 0.500
Nb 0.000 0.000 0.000